[1]
PmNd5In8: optimized geometry, PBE.

Space group ... I-4, No. 82
Energy relative to the elements ... -5.377 eV/f.u.
Fermi-level density of states ... 12.94 states/eV per cell
Crystal system ... tetragonal

abc: 8.163 8.163 8.163
angles: 109.40 109.40 109.62
Fractional coordinates of all 14 atoms:
Pm: 0.000 0.000 0.000
Nd: 0.251 0.626 0.127
Nd: 0.374 0.501 0.625
Nd: 0.499 0.124 0.873
Nd: 0.750 0.250 0.500
Nd: 0.876 0.749 0.375
In: 0.124 0.205 0.751
In: 0.125 0.706 0.753
In: 0.294 0.046 0.418
In: 0.454 0.373 0.249
In: 0.627 0.876 0.081
In: 0.628 0.875 0.582
In: 0.795 0.546 0.919
In: 0.954 0.372 0.247



[2]
Pm3Nd2In4: optimized geometry, PBE.

Space group ... Cmce, No. 64
Distance to the lowest polymorph of the same formula ... 125.6 meV per atom
Energy relative to the elements ... -2.596 eV/f.u.
Fermi-level density of states ... 13.05 states/eV per cell
Crystal system ... orthorhombic

abc: 8.979 8.979 9.510
angles: 90.00 90.00 132.24
Fractional coordinates of all 18 atoms:
Pm: 0.000 0.000 0.000
Pm: 0.029 0.471 0.250
Pm: 0.471 0.029 0.750
Pm: 0.500 0.500 0.500
Pm: 0.529 0.971 0.250
Pm: 0.971 0.529 0.750
Nd: 0.108 0.892 0.433
Nd: 0.392 0.608 0.933
Nd: 0.608 0.392 0.067
Nd: 0.892 0.108 0.567
In: 0.188 0.812 0.030
In: 0.223 0.277 0.250
In: 0.277 0.223 0.750
In: 0.312 0.688 0.530
In: 0.688 0.312 0.470
In: 0.723 0.777 0.250
In: 0.777 0.723 0.750
In: 0.812 0.188 0.970



[3]
Pm6NdIn6: optimized geometry, PBE.

Space group ... P6/mmm, No. 191
Energy relative to the elements ... -4.526 eV/f.u.
Fermi-level density of states ... 15.91 states/eV per cell
Crystal system ... hexagonal

abc: 6.362 6.362 11.076
angles: 90.00 90.00 120.00
Fractional coordinates of all 13 atoms:
Pm: 0.000 0.000 0.164
Pm: 0.000 0.000 0.836
Pm: 0.333 0.667 0.000
Pm: 0.333 0.667 0.500
Pm: 0.667 0.333 0.000
Pm: 0.667 0.333 0.500
Nd: 0.000 0.000 0.500
In: 0.000 0.500 0.254
In: 0.000 0.500 0.746
In: 0.500 0.000 0.254
In: 0.500 0.000 0.746
In: 0.500 0.500 0.254
In: 0.500 0.500 0.746



[4]
Pm4NdIn4: optimized geometry, PBE.

Space group ... P4_2/n, No. 86
Energy relative to the elements ... -2.557 eV/f.u.
Fermi-level density of states ... 16.38 states/eV per cell
Crystal system ... tetragonal

abc: 9.241 9.241 6.272
angles: 90.00 90.00 90.00
Fractional coordinates of all 18 atoms:
Pm: 0.081 0.822 0.124
Pm: 0.178 0.581 0.624
Pm: 0.322 0.919 0.624
Pm: 0.419 0.678 0.124
Pm: 0.581 0.322 0.876
Pm: 0.678 0.081 0.376
Pm: 0.822 0.419 0.376
Pm: 0.919 0.178 0.876
Nd: 0.250 0.250 0.750
Nd: 0.750 0.750 0.250
In: 0.046 0.149 0.359
In: 0.149 0.454 0.141
In: 0.351 0.046 0.141
In: 0.454 0.351 0.359
In: 0.546 0.649 0.641
In: 0.649 0.954 0.859
In: 0.851 0.546 0.859
In: 0.954 0.851 0.641



[5]
Pm2NdIn4: optimized geometry, PBE.

Space group ... I4/mmm, No. 139
Distance to the lowest polymorph of the same formula ... 0.0 meV per atom
Energy relative to the elements ... -2.171 eV/f.u.
Fermi-level density of states ... 6.01 states/eV per cell
Crystal system ... tetragonal

abc: 8.406 8.406 8.406
angles: 142.80 142.80 53.62
Fractional coordinates of all 7 atoms:
Pm: 0.245 0.245 0.000
Pm: 0.755 0.755 0.000
Nd: 0.500 0.500 0.000
In: 0.116 0.616 0.500
In: 0.384 0.884 0.500
In: 0.616 0.116 0.500
In: 0.884 0.384 0.500



[6]
PmNd3In4: optimized geometry, PBE.

Space group ... P4/mmm, No. 123
Distance to the lowest polymorph of the same formula ... 0.0 meV per atom
Energy relative to the elements ... -3.970 eV/f.u.
Fermi-level density of states ... 4.93 states/eV per cell
Crystal system ... tetragonal

abc: 3.869 3.869 15.482
angles: 90.00 90.00 90.00
Fractional coordinates of all 8 atoms:
Pm: 0.000 0.000 0.000
Nd: 0.000 0.000 0.249
Nd: 0.000 0.000 0.500
Nd: 0.000 0.000 0.751
In: 0.500 0.500 0.123
In: 0.500 0.500 0.374
In: 0.500 0.500 0.626
In: 0.500 0.500 0.877



[7]
Pm3Nd5In3: optimized geometry, PBE.

Space group ... P-62m, No. 189
Energy relative to the elements ... 0.919 eV/f.u.
Fermi-level density of states ... 16.88 states/eV per cell
Crystal system ... hexagonal

abc: 11.118 11.118 3.465
angles: 90.00 90.00 120.00
Fractional coordinates of all 11 atoms:
Pm: 0.000 0.609 0.000
Pm: 0.391 0.391 0.000
Pm: 0.609 0.000 0.000
Nd: 0.000 0.298 0.000
Nd: 0.298 0.000 0.000
Nd: 0.333 0.667 0.000
Nd: 0.667 0.333 0.000
Nd: 0.702 0.702 0.000
In: 0.000 0.846 0.500
In: 0.154 0.154 0.500
In: 0.846 0.000 0.500



[8]
Pm3NdIn2: optimized geometry, PBE.

Space group ... Cmmm, No. 65
Distance to the lowest polymorph of the same formula ... 52.1 meV per atom
Energy relative to the elements ... -1.798 eV/f.u.
Fermi-level density of states ... 7.13 states/eV per cell
Crystal system ... orthorhombic

abc: 8.175 8.175 4.645
angles: 90.00 90.00 144.34
Fractional coordinates of all 6 atoms:
Pm: 0.000 0.000 0.000
Pm: 0.326 0.674 0.000
Pm: 0.674 0.326 0.000
Nd: 0.500 0.500 0.500
In: 0.159 0.841 0.500
In: 0.841 0.159 0.500



- Among the records above, which one has the lowest energy relative to the elements?
  PmNd5In8